TaHg2: optimized geometry, PBE.

Values from the calculation:
Fermi-level density of states in states/eV/f.u.: 1.862
ΔH_f (0 K) in kJ per mole of atoms: 37

abc: 6.2938 3.1018 12.8168
angles: 90.00 90.00 90.00
Closest atoms and distances in Å follow each position.
Fractional positions:
Hg 0.3768 0.7500 0.7584  8 Hg 3.08-3.21, 4 Ta 3.12-3.16
Hg 0.3700 0.7500 0.0757  3 Ta 2.93-3.03, 8 Hg 2.97-3.21
Ta 0.5956 0.2500 0.5768  4 Ta 2.78-3.10, 3 Hg 2.93-3.03
Ta 0.9044 0.7500 0.0768  4 Ta 2.78-3.10, 3 Hg 2.93-3.03
Hg 0.1300 0.2500 0.5757  3 Ta 2.93-3.03, 8 Hg 2.97-3.21
Hg 0.6300 0.2500 0.9243  3 Ta 2.93-3.03, 8 Hg 2.97-3.21
Ta 0.0956 0.2500 0.9232  4 Ta 2.78-3.10, 3 Hg 2.93-3.03
Hg 0.8768 0.7500 0.7416  8 Hg 3.08-3.21, 4 Ta 3.12-3.16
Hg 0.6232 0.2500 0.2416  8 Hg 3.08-3.21, 4 Ta 3.12-3.16
Ta 0.4044 0.7500 0.4232  4 Ta 2.78-3.10, 3 Hg 2.93-3.03
Hg 0.1232 0.2500 0.2584  8 Hg 3.08-3.21, 4 Ta 3.12-3.16
Hg 0.8700 0.7500 0.4243  3 Ta 2.93-3.03, 8 Hg 2.97-3.21

***

NaPuTl2Se4: optimized geometry, PBE.

Values from the calculation:
Fermi-level density of states in states/eV/f.u.: 10.115
Uncorrected formation energy in eV/atom: -0.822

abc: 4.2366 7.6836 7.4668
angles: 72.30 90.00 90.00
Closest atoms and distances in Å follow each position.
Fractional positions:
Pu 0.0000 0.5000 0.5000  6 Se 2.77-2.85
Tl 0.5000 0.0000 0.5000  6 Se 3.11-3.13
Se 0.5000 0.7097 0.2825  2 Pu 2.85, 1 Na 3.02, 1 Tl 3.13
Na 0.5000 0.5000 0.0000  6 Se 3.02-3.07
Se 0.0000 0.2759 0.2710  1 Pu 2.77, 2 Na 3.07
Tl 0.0000 0.0000 0.0000  6 Se 3.32-3.35
Se 0.5000 0.2903 0.7175  2 Pu 2.85, 1 Na 3.02, 1 Tl 3.13
Se 0.0000 0.7241 0.7290  1 Pu 2.77, 2 Na 3.07

***

Cr2RePb: optimized geometry, PBE.

Values from the calculation:
Fermi-level density of states in states/eV/f.u.: 4.308
ΔH_f (0 K) in kJ per mole of atoms: 72

abc: 4.7108 4.7108 4.9385
angles: 79.99 79.99 37.59
Closest atoms and distances in Å follow each position.
Fractional positions:
Cr 0.5106 0.5106 0.4207  2 Cr 2.30
Re 0.2500 0.2500 0.2500  6 Cr 2.61-2.63, 4 Pb 2.90
Pb 0.7500 0.7500 0.7500  4 Re 2.90, 6 Cr 2.91-2.99, 2 Pb 3.04
Cr 0.9894 0.9894 0.0793  2 Cr 2.30

***

EuDy2Rh: optimized geometry, PBE.

Values from the calculation:
Offset from the most stable computed form in eV/atom: 0.143
Fermi-level density of states in states/eV/f.u.: 4.372
ΔH_f (0 K) in kJ per mole of atoms: -25

abc: 3.8720 3.8720 10.7381
angles: 79.61 79.61 60.00
Closest atoms and distances in Å follow each position.
Fractional positions:
Dy 0.8831 0.8831 0.3507  3 Rh 2.73
Eu 0.0000 0.0000 0.0000  2 Dy 3.68, 6 Eu 3.87
Rh 0.5000 0.5000 0.5000  6 Dy 2.73
Dy 0.1169 0.1169 0.6493  3 Rh 2.73